P) The following is a DFT calculation (GGA-PBE) of a geometry-optimized BaGa2F structure.

Cell and atoms, written as extended XYZ:
```
8
Lattice="-1.904 1.904 13.684 1.904 -1.904 13.684 1.904 1.904 -13.684" Properties=species:S:1:pos:R:3 pbc="T T T"
Ba 0.000 0.000 0.000
Ba 0.000 1.904 6.842
Ga 0.952 -0.951 10.263
Ga 0.953 0.952 3.421
Ga 0.952 2.855 -3.421
Ga 0.951 0.952 17.106
F 1.904 0.000 6.842
F 0.000 0.000 13.684
```

Space-group type: I-42d (122)
M_tot (μB/f.u.): 0.000
Fermi-level density of states (states/eV per cell): 1.273

=====

Q) The following is a DFT calculation (GGA-PBE) of a geometry-optimized BaGa2F structure.

Cell and atoms, written as extended XYZ:
```
4
Lattice="0.000 3.707 3.707 3.707 0.000 3.707 3.707 3.707 0.000" Properties=species:S:1:pos:R:3 pbc="T T T"
Ba 0.000 0.000 0.000
Ga 1.854 1.854 1.854
Ga 5.561 5.561 5.561
F 3.707 3.707 3.707
```

Space-group type: Fm-3m (225)
M_tot (μB/f.u.): 0.000
Fermi-level density of states (states/eV per cell): 4.055

=====

What should be chosen as the most stable of them? Choose P).

=====

P) The following is a DFT calculation (GGA-PBE) of a geometry-optimized Ba2GaF structure.

Cell and atoms, written as extended XYZ:
```
8
Lattice="-3.906 3.906 4.642 3.906 -3.906 4.642 3.906 3.906 -4.642" Properties=species:S:1:pos:R:3 pbc="T T T"
Ba 5.859 1.424 -1.160
Ba 1.424 1.953 1.160
Ba -1.953 2.482 3.481
Ba 2.482 1.953 5.802
Ga 3.906 0.000 2.321
Ga 0.000 0.000 4.642
F 0.000 0.000 0.000
F 0.000 3.906 2.321
```

Space-group type: I-42d (122)
M_tot (μB/f.u.): 0.000
Fermi-level density of states (states/eV per cell): 0.859

=====

Q) The following is a DFT calculation (GGA-PBE) of a geometry-optimized Ba2GaF structure.

Cell and atoms, written as extended XYZ:
```
4
Lattice="0.000 3.998 3.998 3.998 0.000 3.998 3.998 3.998 0.000" Properties=species:S:1:pos:R:3 pbc="T T T"
Ba 1.999 1.999 1.999
Ba 5.996 5.996 5.996
Ga 0.000 0.000 0.000
F 3.998 3.998 3.998
```

Space-group type: Fm-3m (225)
M_tot (μB/f.u.): 1.774
Fermi-level density of states (states/eV per cell): 2.646

=====

What should be chosen as the most stable of them? Choose P).

=====

P) The following is a DFT calculation (GGA-PBE) of a geometry-optimized BaGa3F structure.

Cell and atoms, written as extended XYZ:
```
5
Lattice="4.993 0.000 0.000 0.000 4.993 0.000 0.000 0.000 4.993" Properties=species:S:1:pos:R:3 pbc="T T T"
Ba 0.000 0.000 0.000
Ga 0.000 2.496 2.496
Ga 2.496 0.000 2.496
Ga 2.496 2.496 0.000
F 2.496 2.496 2.496
```

Space-group type: Pm-3m (221)
M_tot (μB/f.u.): 0.000
Fermi-level density of states (states/eV per cell): 4.697

=====

Q) The following is a DFT calculation (GGA-PBE) of a geometry-optimized BaGa3F structure.

Cell and atoms, written as extended XYZ:
```
5
Lattice="6.310 0.000 0.000 0.000 6.310 0.000 0.000 0.000 6.310" Properties=species:S:1:pos:R:3 pbc="T T T"
Ba 0.000 0.000 0.000
Ga 0.000 0.000 3.155
Ga 0.000 3.155 0.000
Ga 3.155 0.000 0.000
F 3.155 3.155 3.155
```

Space-group type: Pm-3m (221)
M_tot (μB/f.u.): 0.000
Fermi-level density of states (states/eV per cell): 6.772

=====

What should be chosen as the most stable of them? Choose P).

=====

P) The following is a DFT calculation (GGA-PBE) of a geometry-optimized BaGaF2 structure.

Cell and atoms, written as extended XYZ:
```
4
Lattice="2.141 1.236 6.799 -2.141 1.236 6.799 0.000 -2.472 6.799" Properties=species:S:1:pos:R:3 pbc="T T T"
Ba 0.000 0.000 0.000
Ga 0.000 0.000 10.198
F 0.000 0.000 7.706
F 0.000 0.000 12.691
```

Space-group type: R-3m (166)
M_tot (μB/f.u.): 0.000
Fermi-level density of states (states/eV per cell): 0.921

=====

Q) The following is a DFT calculation (GGA-PBE) of a geometry-optimized BaGaF2 structure.

Cell and atoms, written as extended XYZ:
```
8
Lattice="-3.108 3.108 6.420 3.108 -3.108 6.420 3.108 3.108 -6.420" Properties=species:S:1:pos:R:3 pbc="T T T"
Ba 0.000 0.000 0.000
Ba 0.000 3.108 3.210
Ga 3.108 0.000 3.210
Ga 0.000 0.000 6.420
F 4.662 1.114 -1.605
F 1.114 1.554 1.605
F -1.554 1.994 4.815
F 1.994 1.554 8.025
```

Space-group type: I-42d (122)
M_tot (μB/f.u.): 0.830
Fermi-level density of states (states/eV per cell): 3.315

=====

R) The following is a DFT calculation (GGA-PBE) of a geometry-optimized BaGaF2 structure.

Cell and atoms, written as extended XYZ:
```
4
Lattice="2.247 1.297 4.465 -2.247 1.297 4.465 0.000 -2.595 4.465" Properties=species:S:1:pos:R:3 pbc="T T T"
Ba 0.000 0.000 0.000
Ga 0.000 0.000 6.697
F 0.000 0.000 2.952
F 0.000 0.000 10.443
```

Space-group type: R-3m (166)
M_tot (μB/f.u.): 0.867
Fermi-level density of states (states/eV per cell): 1.050

=====

What should be chosen as the most stable of them? Choose P).